# Cr2NiAg

A relaxed structure of Cr2NiAg (PBE-GGA, Alexandria via LeMat-Bulk).

a b c (Å): 6.786 6.786 4.880
angles (deg): 90.00 90.00 90.00
Space group I-42d (No. 122)
Unique sites:
1 Cr 0.211 0.750 0.125 (multiplicity 8)
2 Ni 0.000 0.000 0.000 (multiplicity 4)
3 Ag 0.000 0.000 0.500 (multiplicity 4)

Properties
* final energy: -6.058 eV per atom
* energy relative to the lowest polymorph listed for this composition: 0.628 eV/atom
* formation enthalpy at 0 K: 0.912 eV/atom
* density of states at the Fermi level: 5.527 states/eV/f.u.

# Ba2HPt

A relaxed structure of Ba2HPt (PBE-GGA, Alexandria via LeMat-Bulk).

a b c (Å): 4.3565 4.3565 23.1232
angles (deg): 90.00 90.00 120.00
Space group R3m (No. 160, hexagonal axes)
Unique sites:
1 Ba 0.0000 0.0000 0.0000 (multiplicity 3)
2 Ba 0.0000 0.0000 0.1729 (multiplicity 3)
3 H 0.0000 0.0000 0.4160 (multiplicity 3)
4 Pt 0.0000 0.0000 0.5861 (multiplicity 3)

Properties
* final energy: -3.796 eV per atom
* energy relative to the lowest polymorph listed for this composition: 0.063 eV/atom
* density of states at the Fermi level: 1.773 states/eV/f.u.

# Sn2TeHPd

A relaxed structure of Sn2TeHPd (PBE-GGA, Alexandria via LeMat-Bulk).

a b c (Å): 5.371 5.371 3.712
angles (deg): 90.00 90.00 90.00
Space group P4/mmm (No. 123)
Unique sites:
1 Sn 0.000 0.500 0.000 (multiplicity 2)
2 Te 0.000 0.000 0.500 (multiplicity 1)
3 H 0.500 0.500 0.500 (multiplicity 1)
4 Pd 0.500 0.500 0.000 (multiplicity 1)

Properties
* final energy: -4.043 eV per atom
* density of states at the Fermi level: 2.629 states/eV/f.u.

Values for spin magnetization, μB per formula unit, ordered as above
0.8 0.0 0.0